! Pa2ZnSi3Ir4, optimized geometry, DFT PBE; values from VASP
&SYSTEM
  ibrav = 0, nat = 10, ntyp = 4
/
ATOMIC_SPECIES
Pa 231.04 Pa.upf
Zn 65.41 Zn.upf
Si 28.09 Si.upf
Ir 192.22 Ir.upf
ATOMIC_POSITIONS angstrom
Pa 0.0000 2.0370 2.5563
Pa 2.0370 0.0000 7.7015
Zn 2.0370 2.0370 0.0000
Si 0.0000 0.0000 0.0000
Si 0.0000 2.0370 6.4483
Si 2.0370 0.0000 3.8095
Ir 0.0000 0.0000 5.1289
Ir 0.0000 2.0370 8.7907
Ir 2.0370 0.0000 1.4671
Ir 2.0370 2.0370 5.1289
CELL_PARAMETERS angstrom
4.0741 0.0000 0.0000
0.0000 4.0741 0.0000
0.0000 0.0000 10.2578
! ΔE_f (raw) ... -85.3 kJ/mol of atoms
! SG ... P-4m2
! Total magnetization ... 0.0 μB per cell
! Fermi-level density of states ... 0.86 states/eV per atom

! Na2Re4Mo, optimized geometry, DFT PBE; values from VASP
&SYSTEM
  ibrav = 0, nat = 7, ntyp = 3
/
ATOMIC_SPECIES
Na 22.99 Na.upf
Re 186.21 Re.upf
Mo 95.94 Mo.upf
ATOMIC_POSITIONS angstrom
Na 0.0000 0.0000 2.0225
Na 0.0000 0.0000 12.6025
Re 2.3775 0.0000 0.0000
Re 0.0000 0.0000 4.9771
Re 0.0000 2.3775 0.0000
Re 0.0000 0.0000 9.6479
Mo 0.0000 0.0000 7.3125
CELL_PARAMETERS angstrom
-2.3775 2.3775 7.3125
2.3775 -2.3775 7.3125
2.3775 2.3775 -7.3125
! Formation energy from the elements ... 2.3702 eV/atom
! SG ... I4/mmm
! Total magnetization ... 4.3 μB per cell
! Fermi-level density of states ... 1.15 states/eV per atom

! BaLaPd2O, optimized geometry, DFT PBE; values from VASP
&SYSTEM
  ibrav = 0, nat = 5, ntyp = 4
/
ATOMIC_SPECIES
Ba 137.33 Ba.upf
La 138.91 La.upf
Pd 106.42 Pd.upf
O 16.00 O.upf
ATOMIC_POSITIONS angstrom
Ba 0.0000 0.0000 0.0000
La 0.0000 0.0000 4.9531
Pd 0.0000 2.4893 4.9531
Pd 2.4893 0.0000 4.9531
O 2.4893 2.4893 0.0000
CELL_PARAMETERS angstrom
4.9785 0.0000 0.0000
0.0000 4.9785 0.0000
0.0000 0.0000 9.9062
! ΔE_f (raw) ... 39.0 kJ/mol of atoms
! SG ... P4/mmm
! Total magnetization ... 0.0 μB per cell
! Fermi-level density of states ... 1.67 states/eV per atom